No. 1
DFT (PBE) results for an optimized crystal structure of CaBiPO2.

Cell: 4.299 4.299 5.336 Å, 90.00 90.00 90.00°
Positions (direct):
O  0.000  0.500  0.000
O  0.500  0.000  0.000
Bi  0.000  0.000  0.000
P  0.000  0.000  0.500
Ca  0.500  0.500  0.500

Summary:
Spin magnetization, Bohr magnetons per cell: 0.111
E above lowest polymorph, kJ per mole of atoms: 0.0
ΔE_f (raw), meV/atom: -720
Total DFT energy (no corrections), eV per atom: -4.96
N(E_F), states/eV per cell: 4.3

No. 2
DFT (PBE) results for an optimized crystal structure of PmYTmSn.

Cell: 5.429 5.429 5.429 Å, 60.00 60.00 60.00°
Each line ends with the local moment (μB).
Positions (direct):
Pm  0.500  0.500  0.500  0.36
Y  0.750  0.750  0.750  0.21
Sn  0.000  0.000  0.000  -0.01
Tm  0.250  0.250  0.250  0.29

Summary:
Spin magnetization, Bohr magnetons per cell: 1.305
Total DFT energy (no corrections), eV per atom: -5.13
N(E_F), states/eV per cell: 5.4

No. 3
DFT (PBE) results for an optimized crystal structure of BaCo4Re.

Cell: 5.095 5.095 5.095 Å, 60.00 60.00 60.00°
Each line ends with the local moment (μB).
Positions (direct):
Co  0.378  0.378  0.378  1.77
Co  0.378  0.378  0.866  1.77
Co  0.378  0.866  0.378  1.77
Co  0.866  0.378  0.378  1.77
Re  0.750  0.750  0.750  1.66
Ba  0.000  0.000  0.000  -0.02

Summary:
Spin magnetization, Bohr magnetons per cell: 8.801
Total DFT energy (no corrections), eV per atom: -6.28
N(E_F), states/eV per cell: 10.8

No. 4
DFT (PBE) results for an optimized crystal structure of Y3Ho6ErTh2.

Cell: 6.143 6.143 11.750 Å, 95.01 95.01 119.97°
Positions (direct):
Ho  0.746  0.746  0.247
Ho  0.254  0.254  0.753
Ho  0.082  0.419  0.247
Ho  0.918  0.581  0.753
Ho  0.419  0.082  0.247
Ho  0.581  0.918  0.753
Y  0.500  0.500  0.500
Y  0.834  0.166  0.500
Y  0.166  0.834  0.500
Th  0.333  0.667  0.000
Th  0.667  0.333  0.000
Er  0.000  0.000  0.000

Summary:
Spin magnetization, Bohr magnetons per cell: 0.000
Total DFT energy (no corrections), eV per atom: -5.50
N(E_F), states/eV per cell: 17.0

No. 5
DFT (PBE) results for an optimized crystal structure of Ce6CoPt2.

Cell: 6.241 7.333 9.860 Å, 90.00 92.17 90.00°
Each line ends with the local moment (μB).
Positions (direct):
Ce  0.140  0.030  0.753  0.39
Ce  0.360  0.530  0.747  0.39
Ce  0.346  0.804  0.438  0.41
Ce  0.643  0.161  0.952  0.34
Ce  0.154  0.304  0.062  0.41
Ce  0.860  0.970  0.247  0.39
Ce  0.357  0.839  0.048  0.34
Ce  0.654  0.196  0.562  0.41
Ce  0.846  0.696  0.938  0.41
Ce  0.857  0.661  0.548  0.34
Ce  0.640  0.470  0.253  0.39
Ce  0.143  0.339  0.452  0.34
Co  0.000  0.000  0.500  -0.09
Co  0.500  0.500  0.000  -0.09
Pt  0.423  0.119  0.273  -0.01
Pt  0.923  0.381  0.773  -0.01
Pt  0.577  0.881  0.727  -0.01
Pt  0.077  0.619  0.227  -0.01

Summary:
Spin magnetization, Bohr magnetons per cell: 5.280
Total DFT energy (no corrections), eV per atom: -6.58
N(E_F), states/eV per cell: 49.8

No. 6
DFT (PBE) results for an optimized crystal structure of TbCoSn.

Cell: 4.600 7.236 7.366 Å, 90.00 90.00 90.00°
Each line ends with the local moment (μB).
Positions (direct):
Tb  0.250  0.803  0.974  -0.01
Tb  0.750  0.303  0.526  -0.01
Tb  0.250  0.697  0.474  -0.01
Tb  0.750  0.197  0.026  -0.01
Co  0.750  0.941  0.348  0.08
Co  0.250  0.059  0.652  0.08
Co  0.750  0.559  0.848  0.08
Co  0.250  0.441  0.152  0.08
Sn  0.750  0.611  0.200  0.00
Sn  0.250  0.389  0.800  0.00
Sn  0.750  0.889  0.700  0.00
Sn  0.250  0.111  0.300  0.00

Summary:
Spin magnetization, Bohr magnetons per cell: 0.266
Total DFT energy (no corrections), eV per atom: -5.74
N(E_F), states/eV per cell: 8.3

No. 7
DFT (PBE) results for an optimized crystal structure of Ac3SmHo.

Cell: 6.562 9.435 13.231 Å, 90.00 90.00 90.00°
Positions (direct):
Sm  0.750  0.000  0.557
Sm  0.250  0.000  0.443
Sm  0.250  0.500  0.057
Sm  0.750  0.500  0.943
Ac  0.136  0.250  0.250
Ac  0.088  0.327  0.574
Ac  0.364  0.750  0.250
Ac  0.412  0.673  0.574
Ac  0.588  0.173  0.074
Ac  0.636  0.250  0.750
Ac  0.912  0.673  0.426
Ac  0.412  0.827  0.926
Ac  0.912  0.827  0.074
Ac  0.588  0.327  0.426
Ac  0.088  0.173  0.926
Ac  0.864  0.750  0.750
Ho  0.250  0.000  0.694
Ho  0.750  0.000  0.306
Ho  0.250  0.500  0.806
Ho  0.750  0.500  0.194

Summary:
Spin magnetization, Bohr magnetons per cell: 0.000
Total DFT energy (no corrections), eV per atom: -4.15
N(E_F), states/eV per cell: 28.6

No. 8
DFT (PBE) results for an optimized crystal structure of LaScMo.

Cell: 4.759 4.759 4.759 Å, 60.00 60.00 60.00°
Positions (direct):
Mo  0.250  0.250  0.250
Sc  0.000  0.000  0.000
La  0.500  0.500  0.500

Summary:
Spin magnetization, Bohr magnetons per cell: 0.000
E above lowest polymorph, kJ per mole of atoms: 22.1
Total DFT energy (no corrections), eV per atom: -6.82
N(E_F), states/eV per cell: 2.0

Please write out number 3 again, unchanged.
DFT (PBE) results for an optimized crystal structure of BaCo4Re.

Cell: 5.095 5.095 5.095 Å, 60.00 60.00 60.00°
Each line ends with the local moment (μB).
Positions (direct):
Co  0.378  0.378  0.378  1.77
Co  0.378  0.378  0.866  1.77
Co  0.378  0.866  0.378  1.77
Co  0.866  0.378  0.378  1.77
Re  0.750  0.750  0.750  1.66
Ba  0.000  0.000  0.000  -0.02

Summary:
Spin magnetization, Bohr magnetons per cell: 8.801
Total DFT energy (no corrections), eV per atom: -6.28
N(E_F), states/eV per cell: 10.8

- Look up the total DFT energy (no corrections) of the sixth one.
  -5.74 eV per atom

- Which formula does entry 5 have?
  Ce6CoPt2